1.
DFT (PBE) results for a relaxed NaPdSe2O6 crystal.

It has space group R-3 (No. 148, hexagonal axes), with a = 5.3078 Å, b = 5.3078 Å, c = 17.2609 Å, α = 90.00°, β = 90.00° and γ = 120.00°. The distinct sites, in fractional coordinates, are Na at (0.0000, 0.0000, 0.0000), Pd at (0.0000, 0.0000, 0.5000), Se at (0.0000, 0.0000, 0.2746) and O at (0.0120, 0.6383, 0.9071).

The calculation puts the size of the total moment at 1.01 μB/f.u. For the formation energy (no corrections), the calculation gives -744 meV/atom. As for the density of states at the Fermi level: 1.5 states/eV/f.u. The crystal system is trigonal.


2.
DFT (PBE) results for a relaxed Zr2TiTe6 crystal.

It has space group C2/m (No. 12), with a = 15.464 Å, b = 3.895 Å, c = 9.656 Å, α = 90.00°, β = 109.55° and γ = 90.00°. The distinct sites, in fractional coordinates, are Zr at (0.166, 0.000, 0.331), Ti at (0.000, 0.500, 0.000), Te at (0.021, 0.500, 0.300), Te at (0.134, 0.000, 0.019) and Te at (0.190, 0.000, 0.645).

The polymorph energy (0 for the lowest one) comes out at 0 meV per atom. The calculation puts the size of the total moment at 0.00 μB/f.u. For the formation energy (no corrections), the calculation gives -809 meV/atom. As for the density of states at the Fermi level: 3.2 states/eV/f.u. The crystal system is monoclinic.


3.
DFT (PBE) results for a relaxed CaInNiRh crystal.

It has space group F-43m (No. 216), with a = 6.584 Å, b = 6.584 Å, c = 6.584 Å, α = 90.00°, β = 90.00° and γ = 90.00°. The distinct sites, in fractional coordinates, are Ca at (0.000, 0.000, 0.000), In at (0.000, 0.000, 0.500), Ni at (0.250, 0.250, 0.750) and Rh at (0.250, 0.250, 0.250).

The formation energy from the elements comes out at -0.259 eV per atom. The calculation puts the size of the total moment at 0.00 μB/f.u. As for the density of states at the Fermi level: 2.0 states/eV/f.u. The crystal system is cubic.


4.
DFT (PBE) results for a relaxed YTcO2 crystal.

It has space group I-42d (No. 122), with a = 4.407 Å, b = 4.407 Å, c = 12.025 Å, α = 90.00°, β = 90.00° and γ = 90.00°. The distinct sites, in fractional coordinates, are Y at (0.000, 0.000, 0.000), Tc at (0.000, 0.000, 0.500) and O at (0.199, 0.250, 0.625).

The polymorph energy (0 for the lowest one) comes out at 375 meV per atom. The calculation puts the size of the total moment at 0.00 μB/f.u. For the formation energy (no corrections), the calculation gives -1510 meV/atom. As for the density of states at the Fermi level: 7.7 states/eV/f.u. The crystal system is tetragonal.


5.
DFT (PBE) results for a relaxed Co2ReTe crystal.

It has space group Pmm2 (No. 25), with a = 2.867 Å, b = 4.227 Å, c = 4.671 Å, α = 90.00°, β = 90.00° and γ = 90.00°. The distinct sites, in fractional coordinates, are Co at (0.000, 0.000, 0.000), Co at (0.000, 0.500, 0.303), Re at (0.500, 0.500, 0.845) and Te at (0.500, 0.000, 0.469).

The calculation puts the size of the total moment at 0.14 μB/f.u. For the formation energy (no corrections), the calculation gives 464 meV/atom. As for the density of states at the Fermi level: 4.7 states/eV/f.u. The crystal system is orthorhombic.


6.
DFT (PBE) results for a relaxed DyYAlPt crystal.

It has space group F-43m (No. 216), with a = 7.118 Å, b = 7.118 Å, c = 7.118 Å, α = 90.00°, β = 90.00° and γ = 90.00°. The distinct sites, in fractional coordinates, are Dy at (0.000, 0.000, 0.000), Y at (0.000, 0.000, 0.500), Al at (0.250, 0.250, 0.250) and Pt at (0.250, 0.250, 0.750).

The formation energy from the elements comes out at -0.740 eV per atom. The polymorph energy (0 for the lowest one) comes out at 96 meV per atom. The calculation puts the size of the total moment at 0.00 μB/f.u. As for the density of states at the Fermi level: 2.5 states/eV/f.u. The crystal system is cubic.


7.
DFT (PBE) results for a relaxed H6Ir2RhPb crystal.

It has space group C2/c (No. 15), with a = 7.203 Å, b = 8.931 Å, c = 6.274 Å, α = 90.00°, β = 105.31° and γ = 90.00°. The distinct sites, in fractional coordinates, are H at (0.075, 0.084, 0.053), H at (0.131, 0.201, 0.643), H at (0.224, 0.072, 0.373), Ir at (0.202, 0.342, 0.820), Rh at (0.000, 0.064, 0.750) and Pb at (0.000, 0.369, 0.250).

The calculation puts the size of the total moment at 0.00 μB/f.u. As for the density of states at the Fermi level: 2.4 states/eV/f.u. The crystal system is monoclinic.


8.
DFT (PBE) results for a relaxed AcNdDyEr crystal.

It has space group Cm (No. 8), with a = 6.402 Å, b = 3.693 Å, c = 12.143 Å, α = 90.00°, β = 100.08° and γ = 90.00°. The distinct sites, in fractional coordinates, are Ac at (0.000, 0.000, 0.000), Nd at (0.243, 0.000, 0.731), Dy at (0.418, 0.000, 0.257) and Er at (0.330, 0.500, 0.491).

The formation energy from the elements comes out at 0.062 eV per atom. The polymorph energy (0 for the lowest one) comes out at 0 meV per atom. The calculation puts the size of the total moment at 0.00 μB/f.u. As for the density of states at the Fermi level: 5.1 states/eV/f.u. The crystal system is monoclinic.


9.
DFT (PBE) results for a relaxed TbTiRe4 crystal.

It has space group F-43m (No. 216), with a = 7.512 Å, b = 7.512 Å, c = 7.512 Å, α = 90.00°, β = 90.00° and γ = 90.00°. The distinct sites, in fractional coordinates, are Tb at (0.000, 0.000, 0.000), Ti at (0.250, 0.250, 0.250) and Re at (0.125, 0.125, 0.625).

The formation energy from the elements comes out at -0.103 eV per atom. The calculation puts the size of the total moment at 0.00 μB/f.u. As for the density of states at the Fermi level: 9.1 states/eV/f.u. The crystal system is cubic.


10.
DFT (PBE) results for a relaxed Zr2ZnFe crystal.

It has space group Imm2 (No. 44), with a = 3.185 Å, b = 4.562 Å, c = 9.712 Å, α = 90.00°, β = 90.00° and γ = 90.00°. The distinct sites, in fractional coordinates, are Zr at (0.000, 0.000, 0.000), Zr at (0.000, 0.500, 0.217), Zn at (0.000, 0.500, 0.793) and Fe at (0.000, 0.000, 0.502).

The formation energy from the elements comes out at -0.075 eV per atom. The calculation puts the size of the total moment at 0.08 μB/f.u. As for the density of states at the Fermi level: 3.2 states/eV/f.u. The crystal system is orthorhombic.


11.
DFT (PBE) results for a relaxed KCrBi2Br crystal.

It has space group P4/mmm (No. 123), with a = 6.113 Å, b = 6.113 Å, c = 5.596 Å, α = 90.00°, β = 90.00° and γ = 90.00°. The distinct sites, in fractional coordinates, are K at (0.000, 0.000, 0.000), Cr at (0.500, 0.500, 0.500), Bi at (0.000, 0.500, 0.000) and Br at (0.000, 0.000, 0.500).

The polymorph energy (0 for the lowest one) comes out at 1042 meV per atom. The calculation puts the size of the total moment at 0.48 μB/f.u. For the formation energy (no corrections), the calculation gives 1537 meV/atom. As for the density of states at the Fermi level: 8.2 states/eV/f.u. The crystal system is tetragonal.


12.
DFT (PBE) results for a relaxed PaTaV2 crystal.

It has space group R-3m (No. 166, hexagonal axes), with a = 3.1468 Å, b = 3.1468 Å, c = 24.8583 Å, α = 90.00°, β = 90.00° and γ = 120.00°. The distinct sites, in fractional coordinates, are Pa at (0.0000, 0.0000, 0.0000), Ta at (0.0000, 0.0000, 0.5000) and V at (0.0000, 0.0000, 0.2492).

The formation energy from the elements comes out at 0.416 eV per atom. The polymorph energy (0 for the lowest one) comes out at 317 meV per atom. The calculation puts the size of the total moment at 0.00 μB/f.u. As for the density of states at the Fermi level: 6.4 states/eV/f.u. The crystal system is trigonal.


Ordered energy results: -5.07, -5.68, -4.73, -8.20, -6.99, -5.95, -4.75, -4.45, -10.49, -6.78, -2.49, -9.48; unit eV per atom.
Ordered mass density results: 4.53, 6.04, 7.36, 6.23, 12.66, 8.72, 11.95, 8.24, 14.91, 7.15, 4.68, 12.01; unit g cm⁻³.